# 1
A relaxed structure of Na3SnHg. Source: the Alexandria database, functional PBE-GGA.

Lattice parameters (Å, degrees): 5.589 5.589 5.589 90.00 90.00 90.00
Space group Pm-3m (No. 221)
Asymmetric unit:
Na 0.000 0.000 0.500
Sn 0.500 0.500 0.500
Hg 0.000 0.000 0.000

Results
Polymorph energy (0 for the lowest one)   314 meV/atom
Volume   175 Å³ per cell



# 2
A relaxed structure of K2AsSe2. Source: the Alexandria database, functional PBE-GGA.

Lattice parameters (Å, degrees): 14.151 6.548 8.976 90.00 113.72 90.00
Space group C2/m (No. 12)
Asymmetric unit:
K 0.010 0.000 0.262
K 0.177 0.500 0.111
As 0.158 0.500 0.641
Se 0.017 0.500 0.718
Se 0.183 0.000 0.109

Results
Polymorph energy (0 for the lowest one)   0 meV/atom
Raw formation energy   -65.7 kJ per mole of atoms
Volume   761 Å³ per cell



# 3
A relaxed structure of CeFePt4. Source: the Alexandria database, functional PBE-GGA.

Lattice parameters (Å, degrees): 7.566 7.566 7.566 90.00 90.00 90.00
Space group F-43m (No. 216)
Asymmetric unit:
Ce 0.000 0.000 0.000
Fe 0.250 0.250 0.750
Pt 0.124 0.124 0.376

Results
Total DFT energy (no corrections)   -6.97 eV per atom
Volume   433 Å³ per cell



# 4
A relaxed structure of AcPm2Y3. Source: the Alexandria database, functional PBE-GGA.

Lattice parameters (Å, degrees): 9.217 10.106 9.188 90.00 101.48 90.00
Space group C2/c (No. 15)
Asymmetric unit:
Ac 0.000 0.086 0.250
Pm 0.123 0.253 0.626
Y 0.000 0.426 0.250
Y 0.242 0.413 0.000

Results
Total DFT energy (no corrections)   -5.41 eV per atom
Volume   839 Å³ per cell